# In2CoCu2

A relaxed In2CoCu2 crystal (PBE-GGA, Alexandria via LeMat-Bulk).

## Properties
Density of states at the Fermi level, states/eV per atom: 0.7896
Formation energy from the elements, eV per atom: 0.283
Symmetry: P4/mbm, No. 127
Crystal system: tetragonal

Cell and atoms, written as POSCAR:
```
In2CoCu2
1.0
-6.437 1.021 0.951
0.785 -1.060 6.453
0.662 3.686 0.525
In Cu Co
4 4 2
Direct
0.825 0.325 0.500
0.675 0.825 0.500
0.175 0.675 0.500
0.325 0.175 0.500
0.369 0.869 0.000
0.869 0.631 0.000
0.131 0.369 0.000
0.631 0.131 0.000
0.000 0.000 0.000
0.500 0.500 0.000
```